The following is a DFT calculation (PBE-GGA) of a relaxed La8Ru2Rh3 crystal.

Results
The calculation puts the total magnetization at 0.000 μB/f.u. The calculation puts the density of states at the Fermi level at 7.0 states/eV/f.u. For the total energy, the calculation gives -86.19 eV for the cell shown. For the formation energy, the calculation gives -6.165 eV/f.u.

extended XYZ file:
```
13
Lattice="4.190 7.241 0.020 -4.190 7.241 0.020 0.000 2.408 6.523" Properties=species:S:1:pos:R:3 pbc="T T T"
La 0.000 10.936 5.097
La 0.000 5.953 1.466
La 0.000 3.593 4.933
La 0.000 13.296 1.630
La -2.147 7.212 4.970
La 2.147 7.212 4.970
La -2.147 9.677 1.593
La 2.147 9.677 1.593
Ru 0.000 6.059 6.229
Ru 0.000 10.830 0.333
Rh 0.000 1.204 3.262
Rh 2.048 7.241 0.020
Rh -2.048 7.241 0.020
```